First-principles (PBE) data for crystalline BaZr2VCd at its relaxed geometry, as listed in Alexandria via LeMat-Bulk.

Summary:
Magnetization   0.603 μB/atom
Calculated formation energy   2.04 eV per atom
Theoretical density   5.0 Mg/m³

Unit cell a=5.313 b=5.313 c=5.720 alpha=90.00 beta=90.00 gamma=90.00
Space group P4/mmm (No. 123)
Unique sites:
Ba 0.000 0.000 0.000 x1
Zr 0.000 0.500 0.000 x2
V 0.500 0.500 0.500 x1
Cd 0.000 0.000 0.500 x1